A plane-wave DFT calculation with SCAN was carried out for a PBEsol-optimized structure of ZrOsRh2.

Cell: 3.9300 3.9300 4.8000 Å, 114.17 114.17 90.00°
Closest atoms and distances in Å follow each position.
Atoms (fractional coordinates):
Zr1 0.5000 0.5000 0.0000  4 Os 2.77, 8 Rh 2.77-2.78
Os1 0.2500 0.7500 0.5000  4 Zr 2.77, 8 Rh 2.77-2.78
Rh1 0.7500 0.2500 0.5000  4 Zr 2.77, 4 Rh 2.77, 4 Os 2.78
Rh2 0.0000 0.0000 0.0000  4 Os 2.77, 4 Rh 2.77, 4 Zr 2.78

Results
- energy of formation from the pure elements (eV per atom) = -0.360
- total moment (μB/cell) = 0.00
- polymorph energy (0 for the lowest one) (meV per atom) = 0
- space-group type = I-4m2

***

A plane-wave DFT calculation with SCAN was carried out for a PBEsol-optimized structure of ZrOsRh.

Cell: 2.7396 4.4727 4.4727 Å, 120.00 90.00 90.00°
Closest atoms and distances in Å follow each position.
Atoms (fractional coordinates):
Rh1 0.5001 0.3333 0.6667  3 Zr 2.58, 2 Rh 2.74
Zr1 0.4997 0.6667 0.3333  3 Rh 2.58, 2 Zr 2.74
Os1 0.0002 0.0000 0.0000  2 Os 2.74, 6 Zr 2.92, 6 Rh 2.92

Results
- energy of formation from the pure elements (eV per atom) = -0.073
- total moment (μB/cell) = 0.00
- polymorph energy (0 for the lowest one) (meV per atom) = 0
- space-group type = P-6m2

***

A plane-wave DFT calculation with SCAN was carried out for a PBEsol-optimized structure of Zr2OsRh.

Cell: 3.2333 4.6011 4.6011 Å, 90.00 90.00 90.00°
Closest atoms and distances in Å follow each position.
Atoms (fractional coordinates):
Zr1 0.5000 0.0000 0.5000  4 Os 2.81, 4 Rh 2.81
Zr2 0.5000 0.5000 0.0000  4 Os 2.81, 4 Rh 2.81
Os1 0.0000 0.5000 0.5000  8 Zr 2.81
Rh1 0.0000 0.0000 0.0000  8 Zr 2.81

Results
- energy of formation from the pure elements (eV per atom) = -0.819
- total moment (μB/cell) = 0.00
- space-group type = P4/mmm

***

A plane-wave DFT calculation with SCAN was carried out for a PBEsol-optimized structure of ZrOsRh3.

Cell: 4.6154 4.6154 4.6154 Å, 90.00 90.00 90.00°
Closest atoms and distances in Å follow each position.
Atoms (fractional coordinates):
Rh1 0.0000 0.0000 0.5000  2 Os 2.31
Rh2 0.0000 0.5000 0.0000  2 Os 2.31
Rh3 0.5000 0.0000 0.0000  2 Os 2.31
Os1 0.0000 0.0000 0.0000  6 Rh 2.31
Zr1 0.5000 0.5000 0.5000  12 Rh 3.26

Results
- energy of formation from the pure elements (eV per atom) = 0.945
- total moment (μB/cell) = 0.00
- space-group type = Pm-3m

***

A plane-wave DFT calculation with SCAN was carried out for a PBEsol-optimized structure of Zr2OsRh.

Cell: 4.5468 4.5468 4.5468 Å, 60.00 60.00 60.00°
Closest atoms and distances in Å follow each position.
Atoms (fractional coordinates):
Os1 0.5000 0.5000 0.5000  4 Zr 2.78, 4 Rh 2.78
Zr1 0.0000 0.0000 0.0000  4 Rh 2.78, 4 Zr 2.78
Zr2 0.7500 0.7500 0.7500  4 Zr 2.78, 4 Os 2.78
Rh1 0.2500 0.2500 0.2500  4 Os 2.78, 4 Zr 2.78

Results
- energy of formation from the pure elements (eV per atom) = -0.270
- total moment (μB/cell) = 0.00
- space-group type = F-43m

***

A plane-wave DFT calculation with SCAN was carried out for a PBEsol-optimized structure of ZrOsRh2.

Cell: 2.8654 4.7250 4.8030 Å, 100.50 107.35 90.00°
Closest atoms and distances in Å follow each position.
Atoms (fractional coordinates):
Os1 0.0000 0.5000 0.0000  6 Rh 2.70-2.78, 4 Zr 2.76, 2 Os 2.87
Rh1 0.2564 0.2683 0.5128  6 Rh 2.64-2.90, 3 Os 2.70-2.78, 3 Zr 2.77-2.84
Rh2 0.7436 0.7317 0.4872  6 Rh 2.64-2.90, 3 Os 2.70-2.78, 3 Zr 2.77-2.84
Zr1 0.5000 0.0000 0.0000  4 Os 2.76, 6 Rh 2.77-2.84, 2 Zr 2.87

Results
- energy of formation from the pure elements (eV per atom) = -0.288
- total moment (μB/cell) = 0.00
- polymorph energy (0 for the lowest one) (meV per atom) = 72
- space-group type = C2/m

***

A plane-wave DFT calculation with SCAN was carried out for a PBEsol-optimized structure of OsRu5.

Cell: 2.6961 4.2601 7.1262 Å, 90.00 100.90 90.00°
Closest atoms and distances in Å follow each position.
Atoms (fractional coordinates):
Ru1 0.8886 0.5000 0.7771  2 Os 2.63, 10 Ru 2.64-2.70
Ru2 0.5559 0.5000 0.1118  8 Ru 2.64-2.70, 4 Os 2.64
Ru3 0.2226 0.5000 0.4451  12 Ru 2.63-2.70
Ru4 0.3333 0.0000 0.6665  10 Ru 2.63-2.70, 2 Os 2.69
Ru5 0.6670 0.0000 0.3340  10 Ru 2.64-2.70, 2 Os 2.71
Os1 0.9994 0.0000 0.9988  10 Ru 2.63-2.71, 2 Os 2.70

Results
- energy of formation from the pure elements (eV per atom) = -0.007
- total moment (μB/cell) = 0.00
- polymorph energy (0 for the lowest one) (meV per atom) = 3
- space-group type = Amm2

***

A plane-wave DFT calculation with SCAN was carried out for a PBEsol-optimized structure of Os3Ru.

Cell: 4.6823 5.4151 13.0829 Å, 90.00 90.00 90.00°
Closest atoms and distances in Å follow each position.
Atoms (fractional coordinates):
Os1 0.1688 0.7504 0.3369  8 Os 2.64-2.77, 4 Ru 2.65-2.75
Os2 0.3312 0.0000 0.8364  4 Ru 2.64-2.75, 8 Os 2.65-2.75
Os3 0.1688 0.2496 0.3369  8 Os 2.64-2.77, 4 Ru 2.65-2.75
Os4 0.8312 0.7496 0.1631  8 Os 2.64-2.77, 4 Ru 2.65-2.75
Os5 0.6688 0.5000 0.6636  4 Ru 2.64-2.75, 8 Os 2.65-2.75
Os6 0.5023 0.2500 0.5000  8 Os 2.64-2.71, 4 Ru 2.64-2.71
Os7 0.0012 0.0000 0.5000  8 Os 2.64-2.71, 4 Ru 2.65-2.71
Os8 0.1688 0.7504 0.6631  8 Os 2.64-2.77, 4 Ru 2.65-2.75
Os9 0.8312 0.2504 0.8369  8 Os 2.64-2.77, 4 Ru 2.65-2.75
Os10 0.8312 0.7496 0.8369  8 Os 2.64-2.77, 4 Ru 2.65-2.75
Os11 0.8312 0.2504 0.1631  8 Os 2.64-2.77, 4 Ru 2.65-2.75
Os12 0.6688 0.5000 0.3364  4 Ru 2.64-2.75, 8 Os 2.65-2.75
Os13 0.3312 0.0000 0.1636  4 Ru 2.64-2.75, 8 Os 2.65-2.75
Os14 0.4977 0.7500 0.0000  8 Os 2.64-2.71, 4 Ru 2.64-2.71
Os15 0.5023 0.7500 0.5000  8 Os 2.64-2.71, 4 Ru 2.64-2.71
Os16 0.4977 0.2500 0.0000  8 Os 2.64-2.71, 4 Ru 2.64-2.71
Os17 0.1688 0.2496 0.6631  8 Os 2.64-2.77, 4 Ru 2.65-2.75
Os18 0.9988 0.5000 0.0000  8 Os 2.64-2.71, 4 Ru 2.65-2.71
Ru1 0.6666 0.0000 0.3366  12 Os 2.64-2.75
Ru2 0.3334 0.5000 0.1634  12 Os 2.64-2.75
Ru3 0.9996 0.0000 0.0000  12 Os 2.64-2.71
Ru4 0.6666 0.0000 0.6634  12 Os 2.64-2.75
Ru5 0.0004 0.5000 0.5000  12 Os 2.64-2.71
Ru6 0.3334 0.5000 0.8366  12 Os 2.64-2.75

Results
- energy of formation from the pure elements (eV per atom) = 0.085
- total moment (μB/cell) = 0.00
- space-group type = Pmmn

***

A plane-wave DFT calculation with SCAN was carried out for a PBEsol-optimized structure of Os3Ru.

Cell: 2.7181 2.7181 8.6081 Å, 90.00 90.00 120.00°
Closest atoms and distances in Å follow each position.
Atoms (fractional coordinates):
Ru1 0.0000 0.0000 0.0000  6 Os 2.66, 6 Ru 2.72
Os1 0.3333 0.6667 0.7507  3 Ru 2.66, 9 Os 2.67-2.72
Os2 0.0000 0.0000 0.5000  12 Os 2.67-2.72
Os3 0.3333 0.6667 0.2492  3 Ru 2.66, 9 Os 2.67-2.72

Results
- energy of formation from the pure elements (eV per atom) = -0.007
- total moment (μB/cell) = 0.00
- space-group type = P-6m2

***

A plane-wave DFT calculation with SCAN was carried out for a PBEsol-optimized structure of Os5Ru.

Cell: 2.7255 4.3043 7.2129 Å, 90.00 100.89 90.00°
Closest atoms and distances in Å follow each position.
Atoms (fractional coordinates):
Ru1 0.8885 0.5000 0.7771  10 Os 2.66-2.73, 2 Ru 2.73
Os1 0.6668 0.0000 0.3337  12 Os 2.67-2.74
Os2 0.9993 0.0000 0.9986  2 Ru 2.66, 10 Os 2.67-2.74
Os3 0.5555 0.5000 0.1110  10 Os 2.67-2.73, 2 Ru 2.73
Os4 0.3336 0.0000 0.6672  8 Os 2.66-2.73, 4 Ru 2.66
Os5 0.2229 0.5000 0.4457  10 Os 2.66-2.73, 2 Ru 2.71

Results
- energy of formation from the pure elements (eV per atom) = -0.007
- total moment (μB/cell) = 0.00
- polymorph energy (0 for the lowest one) (meV per atom) = 4
- space-group type = Amm2

***

A plane-wave DFT calculation with SCAN was carried out for a PBEsol-optimized structure of Os5Ru.

Cell: 2.7226 5.0927 6.3850 Å, 103.12 90.00 105.50°
Closest atoms and distances in Å follow each position.
Atoms (fractional coordinates):
Os1 0.9994 0.9989 0.9995  3 Ru 2.66-2.67, 9 Os 2.66-2.72
Os2 0.6665 0.3331 0.3324  1 Ru 2.66, 11 Os 2.66-2.73
Os3 0.3889 0.7778 0.2783  10 Os 2.66-2.73, 2 Ru 2.73
Os4 0.0561 0.1122 0.6115  10 Os 2.66-2.73, 2 Ru 2.72
Os5 0.3336 0.6671 0.6670  10 Os 2.66-2.73, 2 Ru 2.67
Ru1 0.7221 0.4443 0.9446  10 Os 2.66-2.73, 2 Ru 2.72

Results
- energy of formation from the pure elements (eV per atom) = -0.007
- total moment (μB/cell) = 0.00
- polymorph energy (0 for the lowest one) (meV per atom) = 4
- space-group type = Cm

***

A plane-wave DFT calculation with SCAN was carried out for a PBEsol-optimized structure of Os3Ru.

Cell: 2.7211 4.2985 4.7150 Å, 90.00 90.00 90.00°
Closest atoms and distances in Å follow each position.
Atoms (fractional coordinates):
Os1 0.0000 0.0000 0.0021  2 Ru 2.66, 10 Os 2.67-2.74
Os2 0.5000 0.5000 0.8315  8 Os 2.66-2.72, 4 Ru 2.71-2.74
Os3 0.5000 0.0000 0.4982  4 Ru 2.66, 8 Os 2.66-2.74
Ru1 0.0000 0.5000 0.3350  10 Os 2.66-2.74, 2 Ru 2.72

Results
- energy of formation from the pure elements (eV per atom) = -0.013
- total moment (μB/cell) = 0.00
- space-group type = Pmm2

***

A plane-wave DFT calculation with SCAN was carried out for a PBEsol-optimized structure of Os5Ru.

Cell: 4.3047 4.7164 4.7164 Å, 120.00 90.00 90.00°
Closest atoms and distances in Å follow each position.
Atoms (fractional coordinates):
Os1 0.0000 0.6674 0.0000  2 Ru 2.66, 10 Os 2.67-2.73
Os2 0.0000 0.3326 0.3326  2 Ru 2.66, 10 Os 2.67-2.73
Os3 0.0000 0.0000 0.6674  2 Ru 2.66, 10 Os 2.67-2.73
Os4 0.5000 0.3333 0.6667  9 Os 2.67-2.72, 3 Ru 2.72
Os5 0.5000 0.6667 0.3333  9 Os 2.67-2.72, 3 Ru 2.72
Ru1 0.5000 0.0000 0.0000  12 Os 2.66-2.72

Results
- energy of formation from the pure elements (eV per atom) = -0.011
- total moment (μB/cell) = 0.00
- polymorph energy (0 for the lowest one) (meV per atom) = 0
- space-group type = P-62m

***

A plane-wave DFT calculation with SCAN was carried out for a PBEsol-optimized structure of Os3Ru.

Cell: 4.3159 4.3159 4.3159 Å, 60.00 60.00 60.00°
Closest atoms and distances in Å follow each position.
Atoms (fractional coordinates):
Os1 0.2500 0.2500 0.2500  4 Ru 2.64, 4 Os 2.64
Os2 0.5000 0.5000 0.5000  8 Os 2.64
Os3 0.7500 0.7500 0.7500  4 Ru 2.64, 4 Os 2.64
Ru1 0.0000 0.0000 0.0000  8 Os 2.64

Results
- energy of formation from the pure elements (eV per atom) = 0.820
- total moment (μB/cell) = 0.25
- space-group type = Fm-3m

***

A plane-wave DFT calculation with SCAN was carried out for a PBEsol-optimized structure of OsRu5.

Cell: 4.2583 4.6686 4.6686 Å, 120.00 90.00 90.00°
Closest atoms and distances in Å follow each position.
Atoms (fractional coordinates):
Ru1 0.0000 0.0000 0.6664  10 Ru 2.64-2.70, 2 Os 2.64
Ru2 0.5000 0.3333 0.6667  9 Ru 2.64-2.70, 3 Os 2.70
Ru3 0.5000 0.6667 0.3333  9 Ru 2.64-2.70, 3 Os 2.70
Ru4 0.0000 0.3336 0.3336  10 Ru 2.64-2.70, 2 Os 2.64
Ru5 0.0000 0.6664 0.0000  10 Ru 2.64-2.70, 2 Os 2.64
Os1 0.5000 0.0000 0.0000  12 Ru 2.64-2.70

Results
- energy of formation from the pure elements (eV per atom) = -0.011
- total moment (μB/cell) = 0.00
- polymorph energy (0 for the lowest one) (meV per atom) = 0
- space-group type = P-62m

***

A plane-wave DFT calculation with SCAN was carried out for a PBEsol-optimized structure of OsRu5.

Cell: 2.6965 5.0398 6.3171 Å, 103.13 90.00 105.52°
Closest atoms and distances in Å follow each position.
Atoms (fractional coordinates):
Ru1 0.7220 0.4440 0.9445  9 Ru 2.63-2.70, 3 Os 2.64
Ru2 0.3893 0.7785 0.2787  10 Ru 2.63-2.70, 2 Os 2.64
Ru3 0.0557 0.1113 0.6109  11 Ru 2.64-2.70, 1 Os 2.64
Ru4 0.6668 0.3336 0.3331  10 Ru 2.63-2.70, 2 Os 2.70
Ru5 0.3332 0.6665 0.6667  10 Ru 2.63-2.70, 2 Os 2.69
Os1 0.9997 0.9995 0.9995  10 Ru 2.64-2.70, 2 Os 2.70

Results
- energy of formation from the pure elements (eV per atom) = -0.007
- total moment (μB/cell) = 0.00
- polymorph energy (0 for the lowest one) (meV per atom) = 4
- space-group type = Cm

***

A plane-wave DFT calculation with SCAN was carried out for a PBEsol-optimized structure of Os3Ru.

Cell: 2.7186 4.7100 5.0881 Å, 117.57 105.50 90.00°
Closest atoms and distances in Å follow each position.
Atoms (fractional coordinates):
Ru1 0.0000 0.6667 0.0000  10 Os 2.66-2.72, 2 Ru 2.72
Os1 0.7506 0.7501 0.5011  3 Ru 2.66-2.67, 9 Os 2.66-2.72
Os2 0.2494 0.2490 0.4989  3 Ru 2.66-2.67, 9 Os 2.66-2.72
Os3 0.5000 0.1674 0.0000  8 Os 2.66-2.72, 4 Ru 2.72

Results
- energy of formation from the pure elements (eV per atom) = -0.012
- total moment (μB/cell) = 0.00
- space-group type = Imm2

***

A plane-wave DFT calculation with SCAN was carried out for a PBEsol-optimized structure of Os3Ru.

Cell: 4.3014 5.4362 5.4372 Å, 60.01 90.00 90.00°
Closest atoms and distances in Å follow each position.
Atoms (fractional coordinates):
Os1 0.7500 0.0842 0.8315  10 Os 2.67-2.73, 2 Ru 2.72
Os2 0.7500 0.5808 0.3336  4 Ru 2.66-2.73, 8 Os 2.66-2.74
Os3 0.2500 0.9144 0.6664  4 Ru 2.66-2.73, 8 Os 2.66-2.74
Os4 0.2500 0.4192 0.6664  4 Ru 2.66-2.73, 8 Os 2.66-2.74
Os5 0.2500 0.9158 0.1685  10 Os 2.67-2.73, 2 Ru 2.72
Os6 0.7500 0.0856 0.3336  4 Ru 2.66-2.73, 8 Os 2.66-2.74
Ru1 0.7500 0.5825 0.8349  2 Ru 2.65, 10 Os 2.66-2.73
Ru2 0.2500 0.4175 0.1651  2 Ru 2.65, 10 Os 2.66-2.73

Results
- energy of formation from the pure elements (eV per atom) = -0.015
- total moment (μB/cell) = 0.00
- space-group type = Cmcm

***

A plane-wave DFT calculation with SCAN was carried out for a PBEsol-optimized structure of Os3RuS.

Cell: 4.5968 4.5968 4.5968 Å, 90.00 90.00 90.00°
Closest atoms and distances in Å follow each position.
Atoms (fractional coordinates):
Os1 0.0000 0.5000 0.0000  2 Ru 2.30
Os2 0.5000 0.0000 0.0000  2 Ru 2.30
Os3 0.0000 0.0000 0.5000  2 Ru 2.30
S1 0.5000 0.5000 0.5000  12 Os 3.25
Ru1 0.0000 0.0000 0.0000  6 Os 2.30

Results
- formation energy (no corrections) (meV/atom) = 2820
- total moment (μB/cell) = 0.00
- space-group type = Pm-3m

***

A plane-wave DFT calculation with SCAN was carried out for a PBEsol-optimized structure of SbOs2Ru.

Cell: 2.8731 4.5779 4.6727 Å, 90.00 90.00 90.00°
Closest atoms and distances in Å follow each position.
Atoms (fractional coordinates):
Sb1 0.0000 0.5000 0.5000  4 Ru 2.70, 4 Os 2.74, 2 Sb 2.87
Os1 0.0000 0.0000 0.0000  6 Os 2.70-2.87, 4 Ru 2.74
Os2 0.5000 0.5000 0.0000  6 Os 2.70-2.87, 4 Sb 2.74
Ru1 0.5000 0.0000 0.5000  4 Sb 2.70, 4 Os 2.74, 2 Ru 2.87

Results
- formation energy (no corrections) (meV/atom) = 666
- total moment (μB/cell) = 1.79
- space-group type = Pmmm